(1)
Density functional theory data (GGA-PBE) for a relaxed ErSn2Se4 crystal.

Cell: 3.9586 7.1737 13.8484 Å, 90.00 90.00 106.02°
With the nearest neighbours (Å) after each atom.
Positions (direct):
1 Se 0.7864 0.5729 0.3732  3 Sn 2.92-3.02, 2 Er 2.94
2 Se 0.9694 0.9387 0.7500  2 Er 2.83, 2 Sn 2.88
3 Se 0.2136 0.4271 0.6268  3 Sn 2.92-3.02, 2 Er 2.94
4 Se 0.2136 0.4271 0.8732  3 Sn 2.92-3.02, 2 Er 2.94
5 Er 0.6157 0.2315 0.7500  6 Se 2.83-2.94
6 Se 0.5000 0.0000 0.0000  4 Sn 2.85
7 Se 0.0306 0.0613 0.2500  2 Er 2.83, 2 Sn 2.88
8 Sn 0.1322 0.2643 0.4319  6 Se 2.85-3.02
9 Sn 0.8678 0.7357 0.9319  6 Se 2.85-3.02
10 Se 0.7864 0.5729 0.1268  3 Sn 2.92-3.02, 2 Er 2.94
11 Se 0.5000 0.0000 0.5000  4 Sn 2.85
12 Er 0.3843 0.7685 0.2500  6 Se 2.83-2.94
13 Sn 0.1322 0.2643 0.0681  6 Se 2.85-3.02
14 Sn 0.8678 0.7357 0.5681  6 Se 2.85-3.02

Summary:
The value obtained for the density of states at the Fermi level is 6.1 states/eV/cell. As for the raw formation energy: -844 meV/atom. Its total energy is -64.8 eV per cell.

=====

(2)
Density functional theory data (GGA-PBE) for a relaxed Er5SnSe4 crystal.

Cell: 5.8118 7.1269 7.1269 Å, 80.43 65.94 65.94°
With the nearest neighbours (Å) after each atom.
Positions (direct):
1 Se 0.3987 0.4030 0.8016  6 Er 2.88-2.92
2 Er 0.3061 0.7954 0.5944  5 Se 2.88-2.91, 1 Sn 2.96
3 Se 0.6033 0.5970 0.1984  6 Er 2.88-2.92
4 Er 0.9005 0.4056 0.7954  5 Se 2.88-2.91, 1 Sn 2.96
5 Er 0.1015 0.5944 0.2046  5 Se 2.88-2.91, 1 Sn 2.96
6 Se 0.2003 0.1984 0.4030  6 Er 2.88-2.92
7 Sn 0.0011 0.0000 0.0000  6 Er 2.91-2.96
8 Er 0.5011 0.0000 0.0000  2 Sn 2.91, 4 Se 2.92
9 Se 0.8017 0.8016 0.5970  6 Er 2.88-2.92
10 Er 0.6959 0.2046 0.4056  5 Se 2.88-2.91, 1 Sn 2.96

Summary:
The value obtained for the density of states at the Fermi level is 4.5 states/eV/cell. As for the raw formation energy: -1514 meV/atom. Its total energy is -55.9 eV per cell.

=====

(3)
Density functional theory data (GGA-PBE) for a relaxed Er4SnSe2 crystal.

Cell: 4.1595 6.8216 13.5537 Å, 90.00 90.00 107.75°
With the nearest neighbours (Å) after each atom.
Positions (direct):
1 Er 0.0632 0.1265 0.2500  2 Se 2.77, 2 Sn 3.03
2 Er 0.7698 0.5396 0.3753  3 Se 2.77-2.86
3 Sn 0.3932 0.7865 0.2500  6 Er 3.03-3.13
4 Se 0.1359 0.2717 0.4418  6 Er 2.77-2.86
5 Er 0.9368 0.8735 0.7500  2 Se 2.77, 2 Sn 3.03
6 Er 0.2302 0.4604 0.8753  3 Se 2.77-2.86
7 Se 0.1359 0.2717 0.0582  6 Er 2.77-2.86
8 Sn 0.6068 0.2135 0.7500  6 Er 3.03-3.13
9 Er 0.5000 0.0000 0.0000  4 Se 2.84
10 Er 0.7698 0.5396 0.1247  3 Se 2.77-2.86
11 Se 0.8641 0.7283 0.9418  6 Er 2.77-2.86
12 Er 0.2302 0.4604 0.6247  3 Se 2.77-2.86
13 Er 0.5000 0.0000 0.5000  4 Se 2.84
14 Se 0.8641 0.7283 0.5582  6 Er 2.77-2.86

Summary:
The value obtained for the density of states at the Fermi level is 9.2 states/eV/cell. As for the raw formation energy: -1197 meV/atom. Its total energy is -75.2 eV per cell.

=====

(4)
Density functional theory data (GGA-PBE) for a relaxed ErSn3Se6 crystal.

Cell: 4.0342 12.4760 11.6996 Å, 111.54 90.00 90.00°
With the nearest neighbours (Å) after each atom.
Positions (direct):
1 Se 0.7500 0.9383 0.1040  3 Sn 2.81-3.11, 2 Er 2.95
2 Se 0.2500 0.2310 0.7488  1 Sn 2.69, 2 Er 2.96
3 Sn 0.2500 0.5513 0.1589  3 Se 2.76-2.86
4 Sn 0.7500 0.4487 0.8411  3 Se 2.76-2.86
5 Se 0.2500 0.6111 0.9128  3 Sn 2.76-2.90
6 Sn 0.7500 0.1661 0.1112  6 Se 2.79-3.11
7 Se 0.7500 0.4316 0.5901  3 Sn 2.73-2.86
8 Se 0.7500 0.0915 0.4755  2 Sn 2.92, 3 Er 2.95-2.98, 2 Se 3.25
9 Er 0.7500 0.0470 0.7065  8 Se 2.95-3.03
10 Se 0.2500 0.9085 0.5245  2 Sn 2.92, 3 Er 2.95-2.98, 2 Se 3.25
11 Sn 0.2500 0.2728 0.5387  6 Se 2.69-2.92
12 Se 0.7500 0.8075 0.7154  3 Sn 2.77-2.79, 1 Er 3.03
13 Se 0.7500 0.3889 0.0872  3 Sn 2.76-2.90
14 Se 0.2500 0.5684 0.4099  3 Sn 2.73-2.86
15 Se 0.2500 0.0617 0.8960  3 Sn 2.81-3.11, 2 Er 2.95
16 Sn 0.7500 0.7272 0.4613  6 Se 2.69-2.92
17 Er 0.2500 0.9530 0.2935  8 Se 2.95-3.03
18 Se 0.7500 0.7690 0.2512  1 Sn 2.69, 2 Er 2.96
19 Se 0.2500 0.1925 0.2846  3 Sn 2.77-2.79, 1 Er 3.03
20 Sn 0.2500 0.8339 0.8888  6 Se 2.79-3.11

Summary:
The value obtained for the density of states at the Fermi level is 5.7 states/eV/cell. As for the raw formation energy: -699 meV/atom. Its total energy is -88.9 eV per cell.

=====

(5)
Density functional theory data (GGA-PBE) for a relaxed Sr2ErSnSe5 crystal.

Cell: 4.2763 9.3141 13.2398 Å, 90.00 90.00 103.27°
With the nearest neighbours (Å) after each atom.
Positions (direct):
1 Se 0.9452 0.8904 0.5731  2 Sn 2.71, 1 Er 2.95
2 Sn 0.4624 0.9248 0.4490  4 Se 2.66-2.83
3 Se 0.4905 0.9810 0.7584  1 Sn 2.66
4 Se 0.3157 0.6314 0.3750  1 Sn 2.83, 2 Er 2.92
5 Sr 0.1385 0.2770 0.3092  8 Se 3.22-3.47
6 Se 0.3659 0.7318 0.9973  1 Er 2.79
7 Sr 0.8891 0.7781 0.1778  6 Se 3.10-3.31
8 Se 0.5095 0.0190 0.2584  1 Sn 2.66
9 Se 0.2818 0.5635 0.6638  2 Er 2.86, 1 Sr 3.10
10 Er 0.7869 0.5738 0.5204  6 Se 2.79-2.95
11 Sn 0.5376 0.0752 0.9490  4 Se 2.66-2.83
12 Sr 0.8615 0.7230 0.8092  8 Se 3.22-3.47
13 Se 0.6341 0.2682 0.4973  1 Er 2.79
14 Se 0.6843 0.3686 0.8750  1 Sn 2.83, 2 Er 2.92
15 Sr 0.1109 0.2219 0.6778  6 Se 3.10-3.31
16 Er 0.2131 0.4262 0.0204  6 Se 2.79-2.95
17 Se 0.7182 0.4365 0.1638  2 Er 2.86, 1 Sr 3.10
18 Se 0.0548 0.1096 0.0731  2 Sn 2.71, 1 Er 2.95

Summary:
The value obtained for the density of states at the Fermi level is 5.4 states/eV/cell. As for the raw formation energy: -1493 meV/atom. Its total energy is -85.6 eV per cell.

=====

(6)
Density functional theory data (GGA-PBE) for a relaxed Er4SnTeSe2 crystal.

Cell: 4.1931 7.2658 7.2943 Å, 70.59 90.00 90.00°
With the nearest neighbours (Å) after each atom.
Positions (direct):
1 Te 0.5000 0.5000 0.0000  6 Er 3.06-3.08
2 Sn 0.0000 0.5000 0.5000  6 Er 2.99-3.00
3 Er 0.0000 0.7696 0.7334  3 Se 2.86-2.96, 1 Sn 2.99, 2 Te 3.08
4 Se 0.5000 0.0000 0.5000  6 Er 2.86-2.88
5 Se 0.0000 0.0000 0.0000  6 Er 2.94-2.96
6 Er 0.0000 0.2304 0.2666  3 Se 2.86-2.96, 1 Sn 2.99, 2 Te 3.08
7 Er 0.5000 0.2378 0.7473  3 Se 2.88-2.94, 2 Sn 3.00, 1 Te 3.06
8 Er 0.5000 0.7622 0.2527  3 Se 2.88-2.94, 2 Sn 3.00, 1 Te 3.06

Summary:
The value obtained for the density of states at the Fermi level is 2.8 states/eV/cell. As for the raw formation energy: -1345 meV/atom. Its total energy is -43.1 eV per cell.

=====

(7)
Density functional theory data (GGA-PBE) for a relaxed Er8SnTe4Se3 crystal.

Cell: 8.4009 8.5201 8.4007 Å, 119.54 120.00 90.00°
With the nearest neighbours (Å) after each atom.
Positions (direct):
1 Te 0.5000 0.0000 0.0000  6 Er 3.06
2 Er 0.2450 0.7229 0.9781  2 Se 2.86, 1 Sn 2.93, 3 Te 3.06-3.13
3 Er 0.2620 0.2858 0.5240  3 Se 2.85, 3 Te 3.14-3.15
4 Er 0.7550 0.2771 0.0219  2 Se 2.86, 1 Sn 2.93, 3 Te 3.06-3.13
5 Te 0.0000 0.0000 0.0000  6 Er 3.13-3.15
6 Te 0.5000 0.0000 0.5000  6 Er 3.13-3.14
7 Se 0.5000 0.5000 0.0000  6 Er 2.85-2.86
8 Er 0.7380 0.7142 0.4760  3 Se 2.85, 3 Te 3.14-3.15
9 Se 0.5000 0.5000 0.5000  6 Er 2.85-2.86
10 Er 0.2449 0.7228 0.4898  2 Se 2.86, 1 Sn 2.93, 3 Te 3.06-3.13
11 Er 0.2669 0.2771 0.0219  2 Se 2.86, 1 Sn 2.93, 3 Te 3.06-3.13
12 Se 0.0000 0.5000 0.5000  6 Er 2.85-2.86
13 Er 0.7331 0.7229 0.9781  2 Se 2.86, 1 Sn 2.93, 3 Te 3.06-3.13
14 Sn 0.0000 0.5000 0.0000  6 Er 2.93
15 Er 0.7551 0.2772 0.5102  2 Se 2.86, 1 Sn 2.93, 3 Te 3.06-3.13
16 Te 0.0000 0.0000 0.5000  6 Er 3.13-3.14

Summary:
The value obtained for the density of states at the Fermi level is 5.7 states/eV/cell. As for the raw formation energy: -1362 meV/atom. Its total energy is -85.3 eV per cell.

=====

(8)
Density functional theory data (GGA-PBE) for a relaxed Er4SnTe2Se crystal.

Cell: 4.2719 7.4723 7.3483 Å, 70.56 90.00 90.00°
With the nearest neighbours (Å) after each atom.
Positions (direct):
1 Te 0.0000 0.0000 0.0000  6 Er 3.09-3.10
2 Se 0.5000 0.5000 0.0000  6 Er 2.91-2.93
3 Er 0.5000 0.2679 0.7481  1 Se 2.93, 2 Sn 2.96, 3 Te 3.09-3.12
4 Er 0.0000 0.7250 0.7630  2 Se 2.91, 1 Sn 2.95, 3 Te 3.10-3.14
5 Sn 0.0000 0.5000 0.5000  6 Er 2.95-2.96
6 Er 0.5000 0.7321 0.2519  1 Se 2.93, 2 Sn 2.96, 3 Te 3.09-3.12
7 Er 0.0000 0.2750 0.2370  2 Se 2.91, 1 Sn 2.95, 3 Te 3.10-3.14
8 Te 0.5000 0.0000 0.5000  6 Er 3.12-3.14

Summary:
The value obtained for the density of states at the Fermi level is 3.1 states/eV/cell. As for the raw formation energy: -1248 meV/atom. Its total energy is -42.0 eV per cell.

=====

(9)
Density functional theory data (GGA-PBE) for a relaxed Er6SnTe3Se2 crystal.

Cell: 7.2855 7.2855 7.4593 Å, 99.38 99.38 119.91°
With the nearest neighbours (Å) after each atom.
Positions (direct):
1 Er 0.4167 0.0749 0.2249  2 Se 2.87-2.88, 1 Sn 2.95, 3 Te 3.09-3.13
2 Sn 0.0000 0.0000 0.0000  6 Er 2.95
3 Se 0.6674 0.3326 0.0000  6 Er 2.87-2.88
4 Er 0.5833 0.9251 0.7751  2 Se 2.87-2.88, 1 Sn 2.95, 3 Te 3.09-3.13
5 Er 0.9251 0.5833 0.7751  2 Se 2.87-2.88, 1 Sn 2.95, 3 Te 3.09-3.13
6 Er 0.2682 0.2682 0.7781  2 Se 2.87, 1 Sn 2.95, 3 Te 3.07-3.12
7 Te 0.1637 0.8363 0.5000  6 Er 3.09-3.13
8 Se 0.3326 0.6674 0.0000  6 Er 2.87-2.88
9 Er 0.0749 0.4167 0.2249  2 Se 2.87-2.88, 1 Sn 2.95, 3 Te 3.09-3.13
10 Te 0.8363 0.1637 0.5000  6 Er 3.09-3.13
11 Er 0.7318 0.7318 0.2219  2 Se 2.87, 1 Sn 2.95, 3 Te 3.07-3.12
12 Te 0.5000 0.5000 0.5000  6 Er 3.07-3.13

Summary:
The value obtained for the density of states at the Fermi level is 5.7 states/eV/cell. As for the raw formation energy: -1327 meV/atom. Its total energy is -63.7 eV per cell.

=====

(10)
Density functional theory data (GGA-PBE) for a relaxed Er3Tl3SnSe8 crystal.

Cell: 8.1982 8.1991 9.1936 Å, 116.49 90.00 120.00°
With the nearest neighbours (Å) after each atom.
Positions (direct):
1 Se 0.7717 0.5435 0.3017  1 Sn 2.78, 2 Er 2.86
2 Se 0.7717 0.0298 0.3017  1 Sn 2.78, 2 Er 2.86
3 Se 0.2581 0.0298 0.3017  1 Sn 2.78, 2 Er 2.86
4 Se 0.7341 0.4681 0.7021  3 Er 2.85
5 Er 0.5000 0.0000 0.5000  6 Se 2.85-2.86
6 Er 0.0000 0.5000 0.5000  6 Se 2.85-2.86
7 Se 0.2283 0.4565 0.6983  1 Sn 2.78, 2 Er 2.86
8 Tl 0.0000 0.0000 0.0000  6 Se 3.33
9 Se 0.2283 0.9702 0.6983  1 Sn 2.78, 2 Er 2.86
10 Tl 0.0000 0.5000 0.0000  6 Se 3.33
11 Er 0.5000 0.5000 0.5000  6 Se 2.85-2.86
12 Sn 0.0000 0.0000 0.5000  6 Se 2.78
13 Se 0.7419 0.9702 0.6983  1 Sn 2.78, 2 Er 2.86
14 Tl 0.5000 0.5000 0.0000  6 Se 3.33
15 Se 0.2659 0.5319 0.2979  3 Er 2.85

Summary:
The value obtained for the density of states at the Fermi level is 1.2 states/eV/cell. As for the raw formation energy: -1153 meV/atom. Its total energy is -70.0 eV per cell.

=====

(11)
Density functional theory data (GGA-PBE) for a relaxed ErTl3Sn2Se6 crystal.

Cell: 7.2470 7.2470 8.0360 Å, 98.59 98.59 120.17°
With the nearest neighbours (Å) after each atom.
Positions (direct):
1 Tl 0.8341 0.1659 0.5000  6 Se 3.29-3.32
2 Tl 0.1659 0.8341 0.5000  6 Se 3.29-3.32
3 Sn 0.3333 0.6667 0.0000  6 Se 2.89-2.90
4 Se 0.6009 0.9307 0.7931  1 Er 2.87, 2 Sn 2.89-2.90
5 Sn 0.6667 0.3333 0.0000  6 Se 2.89-2.90
6 Se 0.7371 0.7371 0.2043  1 Er 2.86, 2 Sn 2.89
7 Se 0.3991 0.0693 0.2069  1 Er 2.87, 2 Sn 2.89-2.90
8 Er 0.0000 0.0000 0.0000  6 Se 2.86-2.87
9 Tl 0.5000 0.5000 0.5000  6 Se 3.29-3.32
10 Se 0.9307 0.6009 0.7931  1 Er 2.87, 2 Sn 2.89-2.90
11 Se 0.2629 0.2629 0.7957  1 Er 2.86, 2 Sn 2.89
12 Se 0.0693 0.3991 0.2069  1 Er 2.87, 2 Sn 2.89-2.90

Summary:
The value obtained for the density of states at the Fermi level is 7.3 states/eV/cell. As for the raw formation energy: -707 meV/atom. Its total energy is -49.1 eV per cell.

=====

(12)
Density functional theory data (GGA-PBE) for a relaxed ErTlSn2Se4 crystal.

Cell: 4.2545 7.3746 7.5584 Å, 71.73 90.00 90.00°
With the nearest neighbours (Å) after each atom.
Positions (direct):
1 Se 0.0000 0.2470 0.2772  1 Er 2.88, 3 Sn 2.96-3.18, 2 Tl 3.15
2 Se 0.5000 0.2612 0.7247  2 Er 2.94, 3 Sn 2.94-3.17, 1 Tl 3.12
3 Sn 0.5000 0.0000 0.5000  6 Se 2.94-2.96
4 Se 0.5000 0.7388 0.2753  2 Er 2.94, 3 Sn 2.94-3.17, 1 Tl 3.12
5 Tl 0.5000 0.5000 0.0000  6 Se 3.12-3.15
6 Se 0.0000 0.7530 0.7227  1 Er 2.88, 3 Sn 2.96-3.18, 2 Tl 3.15
7 Er 0.0000 0.5000 0.5000  6 Se 2.88-2.94
8 Sn 0.0000 0.0000 0.0000  6 Se 3.17-3.18

Summary:
The value obtained for the density of states at the Fermi level is 0.3 states/eV/cell. As for the raw formation energy: -807 meV/atom. Its total energy is -35.3 eV per cell.

=====

Q: Look up the raw formation energy of the ninth one.
A: -1327 meV/atom

=====

Copy entry 6 word for word.
Density functional theory data (GGA-PBE) for a relaxed Er4SnTeSe2 crystal.

Cell: 4.1931 7.2658 7.2943 Å, 70.59 90.00 90.00°
With the nearest neighbours (Å) after each atom.
Positions (direct):
1 Te 0.5000 0.5000 0.0000  6 Er 3.06-3.08
2 Sn 0.0000 0.5000 0.5000  6 Er 2.99-3.00
3 Er 0.0000 0.7696 0.7334  3 Se 2.86-2.96, 1 Sn 2.99, 2 Te 3.08
4 Se 0.5000 0.0000 0.5000  6 Er 2.86-2.88
5 Se 0.0000 0.0000 0.0000  6 Er 2.94-2.96
6 Er 0.0000 0.2304 0.2666  3 Se 2.86-2.96, 1 Sn 2.99, 2 Te 3.08
7 Er 0.5000 0.2378 0.7473  3 Se 2.88-2.94, 2 Sn 3.00, 1 Te 3.06
8 Er 0.5000 0.7622 0.2527  3 Se 2.88-2.94, 2 Sn 3.00, 1 Te 3.06

Summary:
The value obtained for the density of states at the Fermi level is 2.8 states/eV/cell. As for the raw formation energy: -1345 meV/atom. Its total energy is -43.1 eV per cell.

=====

Q: Which of these has the lowest raw formation energy?
A: Er5SnSe4

=====

Copy entry 2 word for word.
Density functional theory data (GGA-PBE) for a relaxed Er5SnSe4 crystal.

Cell: 5.8118 7.1269 7.1269 Å, 80.43 65.94 65.94°
With the nearest neighbours (Å) after each atom.
Positions (direct):
1 Se 0.3987 0.4030 0.8016  6 Er 2.88-2.92
2 Er 0.3061 0.7954 0.5944  5 Se 2.88-2.91, 1 Sn 2.96
3 Se 0.6033 0.5970 0.1984  6 Er 2.88-2.92
4 Er 0.9005 0.4056 0.7954  5 Se 2.88-2.91, 1 Sn 2.96
5 Er 0.1015 0.5944 0.2046  5 Se 2.88-2.91, 1 Sn 2.96
6 Se 0.2003 0.1984 0.4030  6 Er 2.88-2.92
7 Sn 0.0011 0.0000 0.0000  6 Er 2.91-2.96
8 Er 0.5011 0.0000 0.0000  2 Sn 2.91, 4 Se 2.92
9 Se 0.8017 0.8016 0.5970  6 Er 2.88-2.92
10 Er 0.6959 0.2046 0.4056  5 Se 2.88-2.91, 1 Sn 2.96

Summary:
The value obtained for the density of states at the Fermi level is 4.5 states/eV/cell. As for the raw formation energy: -1514 meV/atom. Its total energy is -55.9 eV per cell.